*1*
Computed, not measured: UBrO2 after structural relaxation at the PBE-GGA level of DFT.

* N(E_F): 3.5 states/eV/f.u.

Lattice parameters (Å, degrees): 10.9908 10.9908 4.0103 90.00 90.00 158.24
Atoms (fractional coordinates):
U 0.0732 0.9268 0.7500
U 0.9268 0.0732 0.2500
Br 0.1745 0.8255 0.2500
Br 0.8255 0.1745 0.7500
O 0.0340 0.9660 0.2500
O 0.4251 0.5749 0.2500
O 0.5749 0.4251 0.7500
O 0.9660 0.0340 0.7500

*2*
Computed, not measured: UBrO2 after structural relaxation at the PBE-GGA level of DFT.

* N(E_F): 5.1 states/eV/f.u.

Lattice parameters (Å, degrees): 5.9833 5.9833 5.9833 36.24 36.24 36.24
Atoms (fractional coordinates):
U 0.0000 0.0000 0.0000
Br 0.5000 0.5000 0.5000
O 0.2973 0.2973 0.2973
O 0.7027 0.7027 0.7027

In terms of stability, *1* leads; the second structure lies 299 meV/atom higher.

*1*
Computed, not measured: YBr2O after structural relaxation at the PBE-GGA level of DFT.

* N(E_F): 4.9 states/eV/f.u.

Lattice parameters (Å, degrees): 4.8858 4.8858 4.8858 60.00 60.00 60.00
Atoms (fractional coordinates):
Y 0.0000 0.0000 0.0000
Br 0.2500 0.2500 0.2500
Br 0.7500 0.7500 0.7500
O 0.5000 0.5000 0.5000

*2*
Computed, not measured: YBr2O after structural relaxation at the PBE-GGA level of DFT.

* N(E_F): 1.5 states/eV/f.u.

Lattice parameters (Å, degrees): 11.3566 11.3566 11.3566 160.08 160.08 28.31
Atoms (fractional coordinates):
Y 0.0000 0.0000 0.0000
Y 0.7500 0.2500 0.5000
Br 0.1237 0.6250 0.9987
Br 0.3750 0.3737 0.4987
Br 0.6263 0.1250 0.0013
Br 0.8750 0.8763 0.5013
O 0.2500 0.7500 0.5000
O 0.5000 0.5000 0.0000

In terms of stability, *1* leads; the second structure lies 84 meV/atom higher.

*1*
Computed, not measured: Y2BrO after structural relaxation at the PBE-GGA level of DFT.

* N(E_F): 4.0 states/eV/f.u.

Lattice parameters (Å, degrees): 7.0614 7.0614 7.0614 129.59 129.59 74.07
Atoms (fractional coordinates):
Y 0.0360 0.6250 0.9110
Y 0.3750 0.2860 0.4110
Y 0.7140 0.1250 0.0890
Y 0.8750 0.9640 0.5890
Br 0.2500 0.7500 0.5000
Br 0.5000 0.5000 0.0000
O 0.0000 0.0000 0.0000
O 0.7500 0.2500 0.5000

*2*
Computed, not measured: Y2BrO after structural relaxation at the PBE-GGA level of DFT.

* N(E_F): 2.2 states/eV/f.u.

Lattice parameters (Å, degrees): 4.7216 4.7216 4.7216 60.00 60.00 60.00
Atoms (fractional coordinates):
Y 0.2500 0.2500 0.2500
Y 0.7500 0.7500 0.7500
Br 0.0000 0.0000 0.0000
O 0.5000 0.5000 0.5000

*3*
Computed, not measured: Y2BrO after structural relaxation at the PBE-GGA level of DFT.

* N(E_F): 3.5 states/eV/f.u.

Lattice parameters (Å, degrees): 7.4919 7.4919 7.4919 27.84 27.84 27.84
Atoms (fractional coordinates):
Y 0.2249 0.2249 0.2249
Y 0.7751 0.7751 0.7751
Br 0.0000 0.0000 0.0000
O 0.5000 0.5000 0.5000

In terms of stability, *3* leads; the second structure lies 65 meV/atom higher.